This record from Alexandria via LeMat-Bulk describes CrInO2 after structural relaxation. The functional is PBE+U. Values from VASP.

Quantum ESPRESSO input file:
```
&SYSTEM
  ibrav = 0, nat = 4, ntyp = 3
/
ATOMIC_SPECIES
Cr 52.00 Cr.upf
In 114.82 In.upf
O 16.00 O.upf
CELL_PARAMETERS angstrom
3.2591 0.0000 0.0000
0.0000 3.2591 0.0000
0.0000 0.0000 4.9972
ATOMIC_POSITIONS angstrom
Cr 0.0000 0.0000 0.0000
In 1.6296 1.6296 2.4986
O 0.0000 0.0000 2.4986
O 1.6296 1.6296 0.0000
```

Output
Its symmetry is P4/mmm, No. 123. The value obtained for the mass density is 6.220 g cm⁻³. The raw total energy is -6.119 eV per atom.